Below is a relaxed structure of K4FeS4, with properties calculated at the PBE level.

The structure in extended XYZ format:
```
18
Lattice="-6.324 -1.818 -0.001 2.461 -8.561 -0.991 0.273 -0.952 8.908" Properties=species:S:1:pos:R:3 pbc="T T T"
K -1.199 -3.908 8.635
K -3.864 -6.543 6.392
K -0.356 -6.838 -0.718
K -0.323 -2.710 4.231
K -1.521 -10.453 5.482
K 1.022 -7.389 3.686
K -4.014 -6.020 1.524
K -4.104 -1.463 2.434
Fe 0.000 0.000 0.000
Fe -1.795 -5.665 3.958
S -2.343 -7.796 3.746
S -3.390 -4.151 4.170
S 1.604 -9.617 6.021
S -4.455 -4.284 8.695
S -3.315 -8.248 -0.779
S -0.782 -5.153 2.062
S -0.665 -5.561 5.854
S -1.013 -0.512 1.896
```

Properties
**Calculated total energy**: -4.18 eV/atom
**Energy relative to the elements, uncorrected**: -0.914 eV/atom

=====

Below is a relaxed structure of DyZr2Zn6, with properties calculated at the PBE level.

The structure in extended XYZ format:
```
9
Lattice="3.267 0.089 -0.137 -0.336 6.612 -3.751 0.324 -0.050 7.601" Properties=species:S:1:pos:R:3 pbc="T T T"
Dy 0.000 0.000 0.000
Zr 0.104 2.170 3.816
Zr 3.150 4.481 -0.103
Zn 1.629 2.261 1.232
Zn 1.625 4.390 2.482
Zn 1.848 0.012 4.965
Zn 1.735 4.373 5.049
Zn 1.844 2.228 6.265
Zn 1.406 6.639 -1.252
```

Properties
**Calculated total energy**: -3.56 eV/atom
**Formation energy**: -0.30 eV/atom